DFT (GGA-PBEsol) results for POs2Ru after structural relaxation.

Structure (CIF):
```
data_POs2Ru
_chemical_formula_sum 'P1 Os2 Ru1'
_symmetry_space_group_name_H-M 'P 1'
_symmetry_Int_Tables_number 1
_symmetry_space_group_name_Hall 'P 1'
_cell_length_a 3.8148
_cell_length_b 3.8148
_cell_length_c 3.6716
_cell_angle_alpha 90.00
_cell_angle_beta 90.00
_cell_angle_gamma 90.00
loop_
_atom_site_label
_atom_site_type_symbol
_atom_site_fract_x
_atom_site_fract_y
_atom_site_fract_z
_atom_site_occupancy
P1 P 0.0000 0.0000 0.0000 1
Os1 Os 0.0000 0.5000 0.5000 1
Os2 Os 0.5000 0.0000 0.5000 1
Ru1 Ru 0.5000 0.5000 0.0000 1
```

Spin magnetization   0.00 μB per atom
N(E_F)   1.698 states/eV per atom
Calculated volume   13.4 Å³ per atom
Energy   -38.4 eV per cell

---

DFT (GGA-PBEsol) results for POs2Ru after structural relaxation.

Structure (CIF):
```
data_POs2Ru
_chemical_formula_sum 'P3 Os6 Ru3'
_symmetry_space_group_name_H-M 'P 1'
_symmetry_Int_Tables_number 1
_symmetry_space_group_name_Hall 'P 1'
_cell_length_a 2.7524
_cell_length_b 2.7524
_cell_length_c 24.1578
_cell_angle_alpha 90.00
_cell_angle_beta 90.00
_cell_angle_gamma 120.00
loop_
_atom_site_label
_atom_site_type_symbol
_atom_site_fract_x
_atom_site_fract_y
_atom_site_fract_z
_atom_site_occupancy
P1 P 0.0000 0.0000 0.0000 1
P2 P 0.3333 0.6667 0.6667 1
P3 P 0.6667 0.3333 0.3333 1
Os1 Os 0.0000 0.0000 0.5010 1
Os2 Os 0.0000 0.0000 0.7437 1
Os3 Os 0.3333 0.6667 0.1677 1
Os4 Os 0.3333 0.6667 0.4104 1
Os5 Os 0.6667 0.3333 0.0770 1
Os6 Os 0.6667 0.3333 0.8344 1
Ru1 Ru 0.0000 0.0000 0.2588 1
Ru2 Ru 0.3333 0.6667 0.9255 1
Ru3 Ru 0.6667 0.3333 0.5921 1
```

Spin magnetization   0.00 μB per atom
N(E_F)   0.796 states/eV per atom
Calculated volume   13.2 Å³ per atom
Energy   -121.3 eV per cell

---

DFT (GGA-PBEsol) results for P2OsRuS after structural relaxation.

Structure (CIF):
```
data_P2OsRuS
_chemical_formula_sum 'P2 Os1 Ru1 S1'
_symmetry_space_group_name_H-M 'P 1'
_symmetry_Int_Tables_number 1
_symmetry_space_group_name_Hall 'P 1'
_cell_length_a 4.4447
_cell_length_b 4.4447
_cell_length_c 4.5654
_cell_angle_alpha 90.00
_cell_angle_beta 90.00
_cell_angle_gamma 90.00
loop_
_atom_site_label
_atom_site_type_symbol
_atom_site_fract_x
_atom_site_fract_y
_atom_site_fract_z
_atom_site_occupancy
P1 P 0.0000 0.5000 0.0000 1
P2 P 0.5000 0.0000 0.0000 1
Os1 Os 0.0000 0.0000 0.0000 1
Ru1 Ru 0.5000 0.5000 0.5000 1
S1 S 0.0000 0.0000 0.5000 1
```

ΔE to the lowest computed polymorph   0 meV per atom
Spin magnetization   0.00 μB per atom
N(E_F)   0.758 states/eV per atom
Calculated volume   18.0 Å³ per atom

---

DFT (GGA-PBEsol) results for Sn2POsRu after structural relaxation.

Structure (CIF):
```
data_Sn2POsRu
_chemical_formula_sum 'Sn2 P1 Os1 Ru1'
_symmetry_space_group_name_H-M 'P 1'
_symmetry_Int_Tables_number 1
_symmetry_space_group_name_Hall 'P 1'
_cell_length_a 4.9429
_cell_length_b 4.9429
_cell_length_c 4.6720
_cell_angle_alpha 90.00
_cell_angle_beta 90.00
_cell_angle_gamma 90.00
loop_
_atom_site_label
_atom_site_type_symbol
_atom_site_fract_x
_atom_site_fract_y
_atom_site_fract_z
_atom_site_occupancy
Sn1 Sn 0.0000 0.5000 0.0000 1
Sn2 Sn 0.5000 0.0000 0.0000 1
P1 P 0.0000 0.0000 0.5000 1
Os1 Os 0.5000 0.5000 0.5000 1
Ru1 Ru 0.5000 0.5000 0.0000 1
```

Spin magnetization   0.00 μB per atom
N(E_F)   0.830 states/eV per atom
Calculated volume   22.8 Å³ per atom
Energy   -30.6 eV per cell

---

DFT (GGA-PBEsol) results for SrP2OsRu after structural relaxation.

Structure (CIF):
```
data_SrP2OsRu
_chemical_formula_sum 'Sr1 P2 Os1 Ru1'
_symmetry_space_group_name_H-M 'P 1'
_symmetry_Int_Tables_number 1
_symmetry_space_group_name_Hall 'P 1'
_cell_length_a 4.9619
_cell_length_b 4.9619
_cell_length_c 4.6166
_cell_angle_alpha 90.00
_cell_angle_beta 90.00
_cell_angle_gamma 90.00
loop_
_atom_site_label
_atom_site_type_symbol
_atom_site_fract_x
_atom_site_fract_y
_atom_site_fract_z
_atom_site_occupancy
Sr1 Sr 0.0000 0.0000 0.0000 1
P1 P 0.0000 0.5000 0.0000 1
P2 P 0.5000 0.0000 0.0000 1
Os1 Os 0.5000 0.5000 0.5000 1
Ru1 Ru 0.0000 0.0000 0.5000 1
```

Spin magnetization   0.41 μB per atom
N(E_F)   1.389 states/eV per atom
Calculated volume   22.7 Å³ per atom
Energy   -21.1 eV per cell

---

DFT (GGA-PBEsol) results for POs3S after structural relaxation.

Structure (CIF):
```
data_POs3S
_chemical_formula_sum 'P1 Os3 S1'
_symmetry_space_group_name_H-M 'P 1'
_symmetry_Int_Tables_number 1
_symmetry_space_group_name_Hall 'P 1'
_cell_length_a 4.3067
_cell_length_b 4.3067
_cell_length_c 4.3067
_cell_angle_alpha 90.00
_cell_angle_beta 90.00
_cell_angle_gamma 90.00
loop_
_atom_site_label
_atom_site_type_symbol
_atom_site_fract_x
_atom_site_fract_y
_atom_site_fract_z
_atom_site_occupancy
P1 P 0.0000 0.0000 0.0000 1
Os1 Os 0.0000 0.5000 0.5000 1
Os2 Os 0.5000 0.0000 0.5000 1
Os3 Os 0.5000 0.5000 0.0000 1
S1 S 0.5000 0.5000 0.5000 1
```

Spin magnetization   0.00 μB per atom
N(E_F)   0.563 states/eV per atom
Calculated volume   16.0 Å³ per atom
Energy   -39.5 eV per cell

---

DFT (GGA-PBEsol) results for POsSe2S after structural relaxation.

Structure (CIF):
```
data_POsSe2S
_chemical_formula_sum 'P1 Os1 Se2 S1'
_symmetry_space_group_name_H-M 'P 1'
_symmetry_Int_Tables_number 1
_symmetry_space_group_name_Hall 'P 1'
_cell_length_a 4.8018
_cell_length_b 4.8018
_cell_length_c 4.2924
_cell_angle_alpha 90.00
_cell_angle_beta 90.00
_cell_angle_gamma 90.00
loop_
_atom_site_label
_atom_site_type_symbol
_atom_site_fract_x
_atom_site_fract_y
_atom_site_fract_z
_atom_site_occupancy
P1 P 0.0000 0.0000 0.0000 1
Os1 Os 0.5000 0.5000 0.0000 1
Se1 Se 0.0000 0.5000 0.5000 1
Se2 Se 0.5000 0.0000 0.5000 1
S1 S 0.5000 0.5000 0.5000 1
```

Spin magnetization   0.00 μB per atom
N(E_F)   1.001 states/eV per atom
Calculated volume   19.8 Å³ per atom
Energy   -23.2 eV per cell

---

DFT (GGA-PBEsol) results for SiP2OsS after structural relaxation.

Structure (CIF):
```
data_SiP2OsS
_chemical_formula_sum 'Si1 P2 Os1 S1'
_symmetry_space_group_name_H-M 'P 1'
_symmetry_Int_Tables_number 1
_symmetry_space_group_name_Hall 'P 1'
_cell_length_a 4.4017
_cell_length_b 4.4017
_cell_length_c 5.1009
_cell_angle_alpha 90.00
_cell_angle_beta 90.00
_cell_angle_gamma 90.00
loop_
_atom_site_label
_atom_site_type_symbol
_atom_site_fract_x
_atom_site_fract_y
_atom_site_fract_z
_atom_site_occupancy
Si1 Si 0.0000 0.0000 0.0000 1
P1 P 0.0000 0.5000 0.5000 1
P2 P 0.5000 0.0000 0.5000 1
Os1 Os 0.5000 0.5000 0.5000 1
S1 S 0.5000 0.5000 0.0000 1
```

ΔE to the lowest computed polymorph   0 meV per atom
Spin magnetization   0.00 μB per atom
N(E_F)   0.551 states/eV per atom
Calculated volume   19.8 Å³ per atom

---

DFT (GGA-PBEsol) results for TePOsS2 after structural relaxation.

Structure (CIF):
```
data_TePOsS2
_chemical_formula_sum 'Te1 P1 Os1 S2'
_symmetry_space_group_name_H-M 'P 1'
_symmetry_Int_Tables_number 1
_symmetry_space_group_name_Hall 'P 1'
_cell_length_a 4.8067
_cell_length_b 4.8067
_cell_length_c 5.0730
_cell_angle_alpha 90.00
_cell_angle_beta 90.00
_cell_angle_gamma 90.00
loop_
_atom_site_label
_atom_site_type_symbol
_atom_site_fract_x
_atom_site_fract_y
_atom_site_fract_z
_atom_site_occupancy
Te1 Te 0.0000 0.0000 0.0000 1
P1 P 0.0000 0.0000 0.5000 1
Os1 Os 0.5000 0.5000 0.5000 1
S1 S 0.0000 0.5000 0.0000 1
S2 S 0.5000 0.0000 0.0000 1
```

Spin magnetization   0.77 μB per atom
N(E_F)   1.045 states/eV per atom
Calculated volume   23.4 Å³ per atom
Energy   -20.4 eV per cell

---

DFT (GGA-PBEsol) results for TlPOsS2 after structural relaxation.

Structure (CIF):
```
data_TlPOsS2
_chemical_formula_sum 'Tl1 P1 Os1 S2'
_symmetry_space_group_name_H-M 'P 1'
_symmetry_Int_Tables_number 1
_symmetry_space_group_name_Hall 'P 1'
_cell_length_a 4.7863
_cell_length_b 4.7863
_cell_length_c 4.4692
_cell_angle_alpha 90.00
_cell_angle_beta 90.00
_cell_angle_gamma 90.00
loop_
_atom_site_label
_atom_site_type_symbol
_atom_site_fract_x
_atom_site_fract_y
_atom_site_fract_z
_atom_site_occupancy
Tl1 Tl 0.0000 0.0000 0.0000 1
P1 P 0.5000 0.5000 0.0000 1
Os1 Os 0.5000 0.5000 0.5000 1
S1 S 0.0000 0.5000 0.5000 1
S2 S 0.5000 0.0000 0.5000 1
```

Spin magnetization   0.00 μB per atom
N(E_F)   1.162 states/eV per atom
Calculated volume   20.5 Å³ per atom
Energy   -27.6 eV per cell